[1]
The following is a PBE-GGA calculation of an optimized crystal structure of HgRh4Cl, from the Alexandria database.

Lattice parameters (Å, degrees): 5.2731 5.2731 5.2731 60.00 60.00 60.00
Site moments in Bohr magnetons follow the coordinates.
Sites, in units of the cell vectors:
Hg 0.0000 0.0000 0.0000  -0.01
Rh 0.8738 0.3754 0.3754  0.58
Rh 0.3754 0.3754 0.8738  0.58
Rh 0.3754 0.8738 0.3754  0.58
Rh 0.3754 0.3754 0.3754  0.58
Cl 0.7500 0.7500 0.7500  0.13

=====

[2]
The following is a PBE-GGA calculation of an optimized crystal structure of HgRh2Cl, from the Alexandria database.

Values from the calculation:
Energy relative to the lowest polymorph listed for this composition in kcal/mol of atoms: 1.82

Lattice parameters (Å, degrees): 6.4771 6.4771 4.6918 89.96 89.96 26.05
Site moments in Bohr magnetons follow the coordinates.
Sites, in units of the cell vectors:
Cl 0.4345 0.4345 0.7487  0.01
Hg 0.2090 0.2090 0.2504  0.00
Rh 0.0926 0.0926 0.7506  0.23
Rh 0.7639 0.7639 0.7503  0.13

=====

M_tot? In order: 2.53; 0.39 μB per cell.
E_form (uncorrected)? In order: 669.2; 209.0 meV per atom.